Material: Ac6Ge3S2Cl
Method: DFT, PBE
State: relaxed

Unit cell a=4.553 b=8.906 c=9.983 alpha=100.86 beta=103.18 gamma=90.00
Fractional coordinates of all 12 atoms:
1 Ac 0.328 0.913 0.656
2 Ac 0.667 0.586 0.333
3 Ac 0.672 0.087 0.344
4 Ac 0.001 0.263 0.002
5 Ac 0.999 0.737 0.998
6 Ac 0.333 0.414 0.667
7 Ge 0.500 0.500 0.000
8 Ge 0.836 0.165 0.673
9 Ge 0.164 0.835 0.327
10 S 0.833 0.666 0.665
11 S 0.167 0.334 0.335
12 Cl 0.500 0.000 0.000

Values from the calculation:
volume = 32.22 A^3/atom
SG = C2/m, No. 12
E_form (uncorrected) = -16.22 eV per formula unit